Record 1
Compound: KBr2
Source: the Alexandria database
Functional: PBE
Structure: optimized geometry

It has space group C2/m (No. 12), with a = 8.851 Å, b = 4.984 Å, c = 12.349 Å, α = 90.00°, β = 108.22° and γ = 90.00°. Symmetry generates all atoms from K at (0.238, 0.000, 0.156), Br at (0.000, 0.000, 0.500), Br at (0.000, 0.500, 0.000) and Br at (0.036, 0.000, 0.714).

For the density of states at the Fermi level, the calculation gives 0.0 states/eV/cell. For the energy above the most stable polymorph in this dataset, the calculation gives 0.00 eV per formula unit. Its formation energy without anion corrections is -1.157 eV/atom.



Record 2
Compound: RbSb2Rh
Source: the Alexandria database
Functional: PBE
Structure: optimized geometry

It has space group I-42d (No. 122), with a = 8.326 Å, b = 8.326 Å, c = 7.390 Å, α = 90.00°, β = 90.00° and γ = 90.00°. Symmetry generates all atoms from Rb at (0.000, 0.000, 0.000), Sb at (0.146, 0.750, 0.625) and Rh at (0.000, 0.000, 0.500).

For the density of states at the Fermi level, the calculation gives 11.6 states/eV/cell. For the energy above the most stable polymorph in this dataset, the calculation gives 1.21 eV per formula unit. Its formation energy without anion corrections is -0.088 eV/atom.